Version a
Below is a relaxed structure of Pa2TiSi, with properties calculated at the PBE level.

volume	20.00	Å³/atom

a = 4.468 Å, b = 4.232 Å, c = 4.232 Å
α = 90.00°, β = 90.00°, γ = 90.00°
Positions (direct):
Si: 0.500 0.500 0.500
Pa: 0.000 0.000 0.500
Pa: 0.000 0.500 0.000
Ti: 0.500 0.000 0.000

Version b
Below is a relaxed structure of Pa2TiSi, with properties calculated at the PBE level.

volume	21.20	Å³/atom

a = 4.934 Å, b = 4.934 Å, c = 4.929 Å
α = 59.97°, β = 59.97°, γ = 60.00°
Positions (direct):
Si: 0.500 0.500 0.500
Pa: 0.250 0.250 0.250
Pa: 0.750 0.750 0.750
Ti: 0.000 0.000 0.000

Top of the stability list: version a, leading by 374 meV/atom.